The following is a DFT calculation (GGA-PBE) of crystalline CaPu2Rh at its relaxed geometry.

```
data_CaPu2Rh
_chemical_formula_sum 'Ca1 Pu2 Rh1'
_cell_length_a 3.454
_cell_length_b 3.454
_cell_length_c 9.061
_cell_angle_alpha 90.00
_cell_angle_beta 90.00
_cell_angle_gamma 90.00
_space_group_name_H-M_alt 'P 4/m m m'
_space_group_IT_number 123
_space_group_name_Hall '-P 4 2'
loop_
_atom_site_label
_atom_site_type_symbol
_atom_site_fract_x
_atom_site_fract_y
_atom_site_fract_z
Ca1 Ca 0.000 0.000 0.000
Pu1 Pu 0.500 0.500 0.318
Rh1 Rh 0.000 0.000 0.500
```

## Properties
- E above lowest polymorph: 0.000 eV/atom
- Fermi-level density of states: 13.9 states/eV/f.u.